{"formula": "TiAsNO2", "functional": "PBE", "state": "relaxed", "lattice": [[-2.817, -2.451, 0.409], [0.588, -0.056, 3.710], [-2.703, 3.185, 0.476]], "species": ["As", "N", "O", "O", "Ti"], "frac_coords": [[0.500, 0.500, 0.500], [0.000, 0.000, 0.500], [0.000, 0.500, 0.000], [0.500, 0.000, 0.000], [0.000, 0.000, 0.000]], "n_ef_per_ev_cell": 0.38, "raw_formation_energy_mev_per_atom": -845}